(1)
First-principles (GGA-PBE) data for a relaxed structure of ScInGa3, as listed in Alexandria via LeMat-Bulk.

Cell: 5.156 5.156 5.156 Å, 90.00 90.00 90.00°
Sites, in units of the cell vectors:
Ga1 0.000 0.000 0.500
In1 0.000 0.000 0.000
Ga2 0.500 0.000 0.000
Ga3 0.000 0.500 0.000
Sc1 0.500 0.500 0.500

Calculated values
As for the magnetic moment: 0.00 μB per cell. For the formation energy, the calculation gives 0.552 eV per atom. The value obtained for the energy above the most stable polymorph in this dataset is 0.118 eV/atom.



(2)
First-principles (GGA-PBE) data for a relaxed structure of Sc4In3Ga, as listed in Alexandria via LeMat-Bulk.

Cell: 3.177 3.177 17.132 Å, 90.00 90.00 90.00°
Sites, in units of the cell vectors:
Ga1 0.500 0.500 0.000
In1 0.500 0.500 0.758
Sc1 0.000 0.000 0.110
In2 0.500 0.500 0.242
In3 0.500 0.500 0.500
Sc2 0.000 0.000 0.890
Sc3 0.000 0.000 0.370
Sc4 0.000 0.000 0.630

Calculated values
As for the magnetic moment: 0.44 μB per cell. For the formation energy, the calculation gives -0.473 eV per atom.



(3)
First-principles (GGA-PBE) data for a relaxed structure of ScInGa2, as listed in Alexandria via LeMat-Bulk.

Cell: 4.141 4.334 4.334 Å, 90.00 90.00 90.00°
Sites, in units of the cell vectors:
Ga1 0.000 0.000 0.500
Ga2 0.000 0.500 0.000
Sc1 0.500 0.000 0.000
In1 0.500 0.500 0.500

Calculated values
As for the magnetic moment: 0.00 μB per cell. For the formation energy, the calculation gives -0.404 eV per atom.



(4)
First-principles (GGA-PBE) data for a relaxed structure of ScIn2Ga, as listed in Alexandria via LeMat-Bulk.

Cell: 8.010 8.010 6.380 Å, 51.12 51.12 90.00°
Sites, in units of the cell vectors:
In1 0.875 0.911 0.750
In2 0.661 0.125 0.250
In3 0.375 0.339 0.750
Sc1 0.500 0.500 0.000
In4 0.089 0.625 0.250
Sc2 0.250 0.750 0.500
Ga1 0.000 0.000 0.000
Ga2 0.750 0.250 0.500

Calculated values
As for the magnetic moment: 0.00 μB per cell. For the formation energy, the calculation gives -0.107 eV per atom.